# 1
Density functional theory data (PBE) for CrCuTe2 after structural relaxation.

```
4
Lattice="-3.5822 -3.0775 1.6238 0.9946 -3.3055 3.6089 -1.9460 0.6178 4.5576" Properties=species:S:1:pos:R:3 pbc="T T T"
Cr -2.2668 -2.8826 4.8951
Cu -3.4001 -4.3239 7.3427
Te 0.0000 0.0000 0.0000
Te -1.1334 -1.4413 2.4476
```

The density of states at the Fermi level comes out at 2.51 states/eV per cell. The calculation puts the magnetization at 3.94 μB per cell. Its polymorph energy (0 for the lowest one) is 2.65 eV/f.u. For the formation energy (no corrections), the calculation gives 0.640 eV per atom. As for the crystal system: cubic.

=====

# 2
Density functional theory data (PBE) for CrCuTe2 after structural relaxation.

```
8
Lattice="6.0503 0.0000 0.0000 0.0000 6.0503 0.0000 3.0251 3.0251 6.0041" Properties=species:S:1:pos:R:3 pbc="T T T"
Cr 3.0251 3.0251 0.0000
Cr 3.0251 6.0503 3.0020
Te 4.5720 1.5126 1.5010
Te 1.4783 4.5377 1.5010
Te 4.5377 4.5034 4.5031
Te 7.5628 7.5971 4.5031
Cu 0.0000 0.0000 0.0000
Cu 6.0503 3.0251 3.0020
```

The density of states at the Fermi level comes out at 4.04 states/eV per cell. The calculation puts the magnetization at 6.00 μB per cell. Its polymorph energy (0 for the lowest one) is 0.12 eV/f.u. For the formation energy (no corrections), the calculation gives 0.010 eV per atom. As for the crystal system: tetragonal.